Here is a geometry-optimized U4Pa3Se8 structure from the Alexandria database. Energies are from PBE-GGA.

Summary:
Space group ... No. 12
Calculated volume ... 374.21 Å³/cell
E_form (uncorrected) ... -1.142 eV/atom
Calculated total energy ... -118.6 eV per cell

```
15
Lattice="5.7191 -5.7185 0.0000 5.7191 5.7185 0.0000 -5.6323 0.0000 5.7209" Properties=species:S:1:pos:R:3 pbc="T T T"
U 0.0000 0.0000 0.0000
U -2.8161 0.0000 2.8605
U 2.8596 2.8593 0.0000
U 2.8596 -2.8593 0.0000
Pa 0.0434 2.8593 2.8605
Pa 0.0434 -2.8593 2.8605
Pa 5.7191 0.0000 0.0000
Se 5.7191 2.8725 0.0000
Se 2.8577 0.0000 0.1012
Se 2.9030 2.7515 2.8605
Se 0.1555 0.0000 2.8583
Se 5.6505 0.0000 2.8626
Se 2.9030 -2.7515 2.8605
Se 2.9483 0.0000 5.6198
Se 5.7191 -2.8725 0.0000
```

Here is a geometry-optimized UPaSe4 structure from the Alexandria database. Energies are from PBE-GGA.

Summary:
Space group ... No. 12
Calculated volume ... 320.20 Å³/cell
E_form (uncorrected) ... -1.228 eV/atom
Calculated total energy ... -84.2 eV per cell
Polymorph energy (0 for the lowest one) ... 0 meV per atom

```
12
Lattice="6.8380 0.0000 0.0000 0.0000 6.8446 0.0000 -0.0609 0.0000 6.8416" Properties=species:S:1:pos:R:3 pbc="T T T"
U 0.0000 0.0000 0.0000
U 3.4190 3.4223 0.0000
Pa -0.0304 3.4223 3.4208
Pa 3.3886 0.0000 3.4208
Se 1.6618 1.7008 5.1132
Se 1.6963 1.7215 1.7284
Se 1.6963 5.1231 1.7284
Se 1.6618 5.1438 5.1132
Se 5.1153 1.7008 1.7284
Se 5.0808 1.7215 5.1132
Se 5.0808 5.1231 5.1132
Se 5.1153 5.1438 1.7284
```

Here is a geometry-optimized U2PaSe4 structure from the Alexandria database. Energies are from PBE-GGA.

Summary:
Space group ... No. 63
Calculated volume ... 362.58 Å³/cell
E_form (uncorrected) ... -1.073 eV/atom
Calculated total energy ... -107.0 eV per cell
Polymorph energy (0 for the lowest one) ... 78 meV per atom

```
14
Lattice="1.9656 -6.6711 0.0000 1.9656 6.6711 0.0000 0.0000 0.0000 13.8252" Properties=species:S:1:pos:R:3 pbc="T T T"
U 1.9656 4.7911 7.7694
U 1.9656 4.7911 12.9684
U 1.9656 -4.7911 0.8568
U 1.9656 -4.7911 6.0558
Pa 1.9656 1.4908 10.3689
Pa 1.9656 -1.4908 3.4563
Se 1.9656 6.0329 10.3689
Se 1.9656 3.7301 1.8316
Se 1.9656 3.7301 5.0810
Se 1.9656 0.0000 0.0000
Se 1.9656 0.0000 6.9126
Se 1.9656 -3.7301 8.7442
Se 1.9656 -3.7301 11.9936
Se 1.9656 -6.0329 3.4563
```